A relaxed Sm2HoO3 crystal. Source: OQMD via LeMat-Bulk, functional PBE-GGA.

Structure (POSCAR):
```
Sm2HoO3
1.0
3.430 0.000 0.000
-1.715 2.971 0.000
0.000 0.000 8.545
O Sm Ho
3 2 1
Cartesian
1.715 0.990 7.309
0.000 1.981 1.236
0.000 0.000 4.273
0.000 1.981 5.718
1.715 0.990 2.828
0.000 0.000 0.000
```

## Properties
Its crystal system is trigonal. For the total energy, the calculation gives -7.60 eV per atom. The size of the total moment is 0.007 μB/f.u. The calculated volume is 87.09 Å³ per cell.